[1]
## Al3ReBr (GGA-PBE)

Data for a relaxed Al3ReBr crystal.

a = 4.7823 Å, b = 4.7823 Å, c = 4.7823 Å
α = 90.00°, β = 90.00°, γ = 90.00°
Closest atoms and distances in Å follow each position.
Element x y z (fractional)
Al: 0.0000 0.0000 0.5000  2 Br 2.39
Al: 0.0000 0.5000 0.0000  2 Br 2.39
Al: 0.5000 0.0000 0.0000  2 Br 2.39
Re: 0.5000 0.5000 0.5000  12 Al 3.38
Br: 0.0000 0.0000 0.0000  6 Al 2.39

- Energy: -3.416 eV/atom
- Fermi-level density of states: 0.67 states/eV/atom
- E above lowest polymorph: 6.41 eV/f.u.
- Space-group type: Pm-3m
- ΔE_f (raw): 1.65 eV/atom
- Total moment: 0.531 μB/atom

***

[2]
## Al2ReBr (GGA-PBE)

Data for a relaxed Al2ReBr crystal.

a = 9.6389 Å, b = 2.9405 Å, c = 4.8535 Å
α = 90.00°, β = 98.03°, γ = 90.00°
Closest atoms and distances in Å follow each position.
Element x y z (fractional)
Al: 0.2260 0.0000 0.2247  1 Br 2.71, 6 Al 2.72-3.03, 3 Re 2.73-2.99
Al: 0.2740 0.5000 0.7753  1 Br 2.71, 6 Al 2.72-3.03, 3 Re 2.73-2.99
Al: 0.7260 0.5000 0.2247  1 Br 2.71, 6 Al 2.72-3.03, 3 Re 2.73-2.99
Al: 0.7740 0.0000 0.7753  1 Br 2.71, 6 Al 2.72-3.03, 3 Re 2.73-2.99
Re: 0.0000 0.5000 0.0000  6 Al 2.73-2.99, 4 Br 2.84, 2 Re 2.94
Re: 0.5000 0.0000 0.0000  6 Al 2.73-2.99, 4 Br 2.84, 2 Re 2.94
Br: 0.0000 0.0000 0.5000  2 Al 2.71, 4 Re 2.84, 2 Br 2.94
Br: 0.5000 0.5000 0.5000  2 Al 2.71, 4 Re 2.84, 2 Br 2.94

- Energy: -4.846 eV/atom
- Fermi-level density of states: 0.51 states/eV/atom
- E above lowest polymorph: 2.60 eV/f.u.
- Space-group type: C2/m
- ΔE_f (raw): 0.56 eV/atom
- Total moment: 0.000 μB/atom